No. 1
## ZrScCo (PBE)

Data for ZrScCo after structural relaxation.

Unit cell a=3.3598 b=10.9739 c=6.2366 alpha=90.00 beta=90.00 gamma=90.00
Fractional positions:
Zr  0.0000  0.0159  0.9020
Zr  0.0000  0.9841  0.4020
Zr  0.5000  0.5159  0.9020
Zr  0.5000  0.4841  0.4020
Sc  0.0000  0.2897  0.1044
Sc  0.0000  0.7103  0.6044
Sc  0.5000  0.7897  0.1044
Sc  0.5000  0.2103  0.6044
Co  0.0000  0.3885  0.6737
Co  0.0000  0.6115  0.1737
Co  0.5000  0.8885  0.6737
Co  0.5000  0.1115  0.1737

Results
For the energy above the most stable polymorph in this dataset, the calculation gives 37.3 meV/atom. Its space group is Cmc2_1. Its energy of formation is -0.7 eV per formula unit. The calculated volume is 230 Å³/cell. Its size of the total moment is 0.0 μB per cell.

No. 2
## Zr3ScCo (PBE)

Data for Zr3ScCo after structural relaxation.

Unit cell a=4.8816 b=4.8816 c=4.8816 alpha=90.00 beta=90.00 gamma=90.00
Fractional positions:
Sc  0.5000  0.5000  0.5000
Co  0.0000  0.0000  0.0000
Zr  0.0000  0.5000  0.0000
Zr  0.0000  0.0000  0.5000
Zr  0.5000  0.0000  0.0000

Results
For the energy above the most stable polymorph in this dataset, the calculation gives 255.9 meV/atom. Its space group is Pm-3m. Its energy of formation is 0.8 eV per formula unit. The calculated volume is 116 Å³/cell. Its size of the total moment is 0.0 μB per cell.